No. 1
First-principles (GGA-PBE) data for an optimized crystal structure of La5IrAu2, as listed in Alexandria.

a = 9.227 Å, b = 12.429 Å, c = 4.229 Å
α = 90.00°, β = 90.00°, γ = 90.00°
Space group Pbam (No. 55)
Inequivalent atoms, fractional coordinates:
La 0.000 0.000 0.000 [2 per cell]
La 0.143 0.296 0.000 [4 per cell]
La 0.180 0.578 0.500 [4 per cell]
Ir 0.000 0.500 0.000 [2 per cell]
Au 0.073 0.823 0.500 [4 per cell]

Energy of formation from the pure elements in meV/atom: -671
Spin magnetization in μB per cell: 0.00
Crystal system: orthorhombic

No. 2
First-principles (GGA-PBE) data for an optimized crystal structure of LuSnAu2, as listed in Alexandria.

a = 3.645 Å, b = 3.645 Å, c = 6.592 Å
α = 90.00°, β = 90.00°, γ = 90.00°
Space group P4/mmm (No. 123)
Inequivalent atoms, fractional coordinates:
Lu 0.000 0.000 0.000 [1 per cell]
Sn 0.000 0.000 0.500 [1 per cell]
Au 0.500 0.500 0.230 [2 per cell]

Energy of formation from the pure elements in meV/atom: -604
Spin magnetization in μB per cell: 0.00
Crystal system: tetragonal

No. 3
First-principles (GGA-PBE) data for an optimized crystal structure of AlHg2P, as listed in Alexandria.

a = 4.0708 Å, b = 4.0708 Å, c = 18.0602 Å
α = 90.00°, β = 90.00°, γ = 120.00°
Space group R-3m (No. 166, hexagonal axes)
Inequivalent atoms, fractional coordinates:
Al 0.0000 0.0000 0.0000 [3 per cell]
Hg 0.0000 0.0000 0.2467 [6 per cell]
P 0.0000 0.0000 0.5000 [3 per cell]

ΔE to the lowest computed polymorph in eV/atom: 0.354
Energy of formation from the pure elements in meV/atom: 307
Spin magnetization in μB per cell: 0.00
Crystal system: trigonal

No. 4
First-principles (GGA-PBE) data for an optimized crystal structure of La2S3, as listed in Alexandria.

a = 3.801 Å, b = 3.801 Å, c = 16.481 Å
α = 90.00°, β = 90.00°, γ = 90.00°
Space group I4/mmm (No. 139)
Inequivalent atoms, fractional coordinates:
La 0.000 0.000 0.124 [4 per cell]
S 0.000 0.000 0.307 [4 per cell]
S 0.000 0.000 0.500 [2 per cell]

Spin magnetization in μB per cell: 0.00
Crystal system: tetragonal
Formation energy from raw total energies in eV/atom: -1.89

No. 5
First-principles (GGA-PBE) data for an optimized crystal structure of InCo2H, as listed in Alexandria.

a = 5.208 Å, b = 5.208 Å, c = 6.948 Å
α = 90.00°, β = 90.00°, γ = 90.00°
Space group I-42d (No. 122)
Inequivalent atoms, fractional coordinates:
In 0.000 0.000 0.000 [4 per cell]
Co 0.039 0.750 0.625 [8 per cell]
H 0.000 0.000 0.500 [4 per cell]

ΔE to the lowest computed polymorph in eV/atom: 0.000
Spin magnetization in μB per cell: 7.92
Crystal system: tetragonal

No. 6
First-principles (GGA-PBE) data for an optimized crystal structure of Pm2HoScTl4, as listed in Alexandria.

a = 5.3571 Å, b = 5.3571 Å, c = 26.3615 Å
α = 90.00°, β = 90.00°, γ = 120.00°
Space group R-3m (No. 166, hexagonal axes)
Inequivalent atoms, fractional coordinates:
Pm 0.0000 0.0000 0.2485 [6 per cell]
Ho 0.0000 0.0000 0.0000 [3 per cell]
Sc 0.0000 0.0000 0.5000 [3 per cell]
Tl 0.0000 0.0000 0.1260 [6 per cell]
Tl 0.0000 0.0000 0.3761 [6 per cell]

Energy of formation from the pure elements in meV/atom: -329
Spin magnetization in μB per cell: 0.00
Crystal system: trigonal

No. 7
First-principles (GGA-PBE) data for an optimized crystal structure of AcTaNbO6, as listed in Alexandria.

a = 5.073 Å, b = 5.073 Å, c = 10.098 Å
α = 90.00°, β = 90.00°, γ = 90.00°
Space group P4_2nm (No. 102)
Inequivalent atoms, fractional coordinates:
Ac 0.000 0.000 0.000 [2 per cell]
Ta 0.000 0.000 0.339 [2 per cell]
Nb 0.000 0.000 0.672 [2 per cell]
O 0.166 0.166 0.501 [4 per cell]
O 0.222 0.222 0.205 [4 per cell]
O 0.228 0.228 0.810 [4 per cell]

Spin magnetization in μB per cell: 2.06
Crystal system: tetragonal
Formation energy from raw total energies in eV/atom: -2.81

No. 8
First-principles (GGA-PBE) data for an optimized crystal structure of Li2CePb, as listed in Alexandria.

a = 4.585 Å, b = 4.585 Å, c = 4.915 Å
α = 90.00°, β = 90.00°, γ = 90.00°
Space group P4/mmm (No. 123)
Inequivalent atoms, fractional coordinates:
Li 0.000 0.500 0.000 [2 per cell]
Ce 0.000 0.000 0.500 [1 per cell]
Pb 0.500 0.500 0.500 [1 per cell]

ΔE to the lowest computed polymorph in eV/atom: 0.127
Energy of formation from the pure elements in meV/atom: -122
Spin magnetization in μB per cell: 1.19
Crystal system: tetragonal

No. 9
First-principles (GGA-PBE) data for an optimized crystal structure of PuInIr, as listed in Alexandria.

a = 3.190 Å, b = 3.190 Å, c = 12.343 Å
α = 90.00°, β = 90.00°, γ = 90.00°
Space group I4mm (No. 107)
Inequivalent atoms, fractional coordinates:
Pu 0.000 0.000 0.000 [2 per cell]
In 0.000 0.000 0.706 [2 per cell]
Ir 0.000 0.000 0.349 [2 per cell]

Energy of formation from the pure elements in meV/atom: -254
Spin magnetization in μB per cell: 10.32
Crystal system: tetragonal

No. 10
First-principles (GGA-PBE) data for an optimized crystal structure of Cd2AgAu4, as listed in Alexandria.

a = 8.945 Å, b = 7.010 Å, c = 5.727 Å
α = 90.00°, β = 128.72°, γ = 90.00°
Space group C2/m (No. 12)
Inequivalent atoms, fractional coordinates:
Cd 0.004 0.000 0.254 [4 per cell]
Ag 0.000 0.500 0.500 [2 per cell]
Au 0.204 0.296 0.203 [8 per cell]

ΔE to the lowest computed polymorph in eV/atom: 0.008
Energy of formation from the pure elements in meV/atom: -40
Spin magnetization in μB per cell: 0.00
Crystal system: monoclinic

No. 11
First-principles (GGA-PBE) data for an optimized crystal structure of Ho4Cl3O4, as listed in Alexandria.

a = 3.486 Å, b = 7.710 Å, c = 13.113 Å
α = 90.00°, β = 90.00°, γ = 90.00°
Space group Immm (No. 71)
Inequivalent atoms, fractional coordinates:
Ho 0.000 0.000 0.211 [4 per cell]
Ho 0.000 0.234 0.500 [4 per cell]
Cl 0.000 0.000 0.000 [2 per cell]
Cl 0.000 0.500 0.110 [4 per cell]
O 0.000 0.323 0.341 [8 per cell]

Spin magnetization in μB per cell: 0.00
Crystal system: orthorhombic
Formation energy from raw total energies in eV/atom: -2.68

No. 12
First-principles (GGA-PBE) data for an optimized crystal structure of Sm2Pa2S7, as listed in Alexandria.

a = 3.948 Å, b = 14.220 Å, c = 8.627 Å
α = 90.00°, β = 90.00°, γ = 90.00°
Space group Imm2 (No. 44)
Inequivalent atoms, fractional coordinates:
Sm 0.000 0.240 0.000 [4 per cell]
Pa 0.000 0.000 0.748 [2 per cell]
Pa 0.000 0.500 0.799 [2 per cell]
S 0.000 0.000 0.073 [2 per cell]
S 0.000 0.107 0.476 [4 per cell]
S 0.000 0.318 0.700 [4 per cell]
S 0.000 0.368 0.305 [4 per cell]

ΔE to the lowest computed polymorph in eV/atom: 0.000
Spin magnetization in μB per cell: 3.69
Crystal system: orthorhombic
Formation energy from raw total energies in eV/atom: -1.82

| no. | total DFT energy (no corrections) (eV/cell) |
| --- | --- |
| 1 | -90.841 |
| 2 | -17.495 |
| 3 | -25.580 |
| 4 | -63.384 |
| 5 | -78.376 |
| 6 | -97.520 |
| 7 | -162.051 |
| 8 | -13.956 |
| 9 | -53.389 |
| 10 | -36.144 |
| 11 | -146.278 |
| 12 | -154.719 |